[1]
Computed, not measured: ZrTlAu2 after structural relaxation at the PBE-GGA level of DFT.

## Properties
* calculated volume: 20.09 Å³/atom
* total moment: 0.00 μB/f.u.

CIF file:
```
data_ZrTlAu2
_chemical_formula_sum 'Zr1 Tl1 Au2'
_space_group_name_H-M_alt 'P 1'
_space_group_IT_number 1
_space_group_name_Hall 'P 1'
_cell_length_a 4.844
_cell_length_b 4.844
_cell_length_c 4.844
_cell_angle_alpha 60.00
_cell_angle_beta 60.00
_cell_angle_gamma 60.00
loop_
_atom_site_label
_atom_site_type_symbol
_atom_site_fract_x
_atom_site_fract_y
_atom_site_fract_z
Zr1 Zr 0.000 0.000 0.000
Tl1 Tl 0.750 0.750 0.750
Au1 Au 0.250 0.250 0.250
Au2 Au 0.500 0.500 0.500
```

---

[2]
Computed, not measured: NaSiTcW after structural relaxation at the PBE-GGA level of DFT.

## Properties
* calculated volume: 14.85 Å³/atom
* total moment: 0.00 μB/f.u.

CIF file:
```
data_NaSiTcW
_chemical_formula_sum 'Na1 Si1 Tc1 W1'
_space_group_name_H-M_alt 'P 1'
_space_group_IT_number 1
_space_group_name_Hall 'P 1'
_cell_length_a 4.379
_cell_length_b 4.379
_cell_length_c 4.379
_cell_angle_alpha 60.00
_cell_angle_beta 60.00
_cell_angle_gamma 60.00
loop_
_atom_site_label
_atom_site_type_symbol
_atom_site_fract_x
_atom_site_fract_y
_atom_site_fract_z
Na1 Na 0.000 0.000 0.000
Si1 Si 0.250 0.250 0.250
Tc1 Tc 0.500 0.500 0.500
W1 W 0.750 0.750 0.750
```

---

Electronic total energy (computed, eV/atom): -4.523 -7.163